The following is a PBE calculation of a relaxed structure of CaCoRe, from Alexandria.

Computed properties:
Energy above the lowest structure with this stoichiometry = 125.7 meV/atom
V = 112.2 Å³/cell
E_form = 0.90 eV per formula unit

a = 3.2158 Å, b = 4.3429 Å, c = 8.0372 Å
α = 90.00°, β = 90.06°, γ = 90.00°
Space group P2_1/m (No. 11)
Asymmetric unit:
Ca 0.2492 0.2500 0.1572 [2 per cell]
Co 0.2509 0.2500 0.7232 [2 per cell]
Re 0.2497 0.7500 0.4892 [2 per cell]

---

The following is a PBE calculation of a relaxed structure of CaCoRe, from Alexandria.

Computed properties:
Energy above the lowest structure with this stoichiometry = 613.0 meV/atom
V = 49.9 Å³/cell
E_form = 2.36 eV per formula unit

a = 4.5681 Å, b = 4.5681 Å, c = 2.7588 Å
α = 90.00°, β = 90.00°, γ = 120.00°
Space group P3m1 (No. 156)
Asymmetric unit:
Ca 0.0000 0.0000 0.0000 [1 per cell]
Co 0.3333 0.6667 0.5013 [1 per cell]
Re 0.6667 0.3333 0.4990 [1 per cell]

---

The following is a PBE calculation of a relaxed structure of CaCo2Re, from Alexandria.

Computed properties:
Energy above the lowest structure with this stoichiometry = 462.5 meV/atom
V = 283.7 Å³/cell
E_form = 3.00 eV per formula unit

a = 6.9826 Å, b = 6.9826 Å, c = 5.8193 Å
α = 90.00°, β = 90.00°, γ = 90.00°
Space group I-42d (No. 122)
Asymmetric unit:
Ca 0.0000 0.0000 0.0000 [4 per cell]
Co 0.1854 0.7500 0.6250 [8 per cell]
Re 0.0000 0.0000 0.5000 [4 per cell]

---

The following is a PBE calculation of a relaxed structure of Ca2CoRe, from Alexandria.

Computed properties:
Energy above the lowest structure with this stoichiometry = 621.2 meV/atom
V = 342.3 Å³/cell
E_form = 4.00 eV per formula unit

a = 6.9954 Å, b = 6.9954 Å, c = 6.9954 Å
α = 90.00°, β = 90.00°, γ = 90.00°
Space group Fm-3m (No. 225)
Asymmetric unit:
Ca 0.2500 0.2500 0.2500 [8 per cell]
Co 0.0000 0.0000 0.0000 [4 per cell]
Re 0.0000 0.0000 0.5000 [4 per cell]